No. 1
An optimized crystal structure of MoPbS3. Source: OQMD, functional PBE.

The structure belongs to space group P2_1/c (No. 14); the cell edges are 7.8322, 11.4819 and 6.0421 Å and the angles 90.00°, 107.13° and 90.00°. The inequivalent atoms are Mo at (0.1768, 0.2140, 0.0056), Pb at (0.3957, 0.6191, 0.2050), S at (0.0449, 0.7262, 0.8473), S at (0.2433, 0.0302, 0.0829) and S at (0.4410, 0.1711, 0.6327).

For the energy above the most stable polymorph in this dataset, the calculation gives 0.031 eV per atom. The crystal system is monoclinic.


No. 2
An optimized crystal structure of NdZnPd. Source: OQMD, functional PBE.

The structure belongs to space group P-62m (No. 189); the cell edges are 7.4283, 7.4283 and 3.9917 Å and the angles 90.00°, 90.00° and 120.00°. The inequivalent atoms are Nd at (0.0000, 0.5910, 0.0000), Zn at (0.0000, 0.2423, 0.5000), Pd at (0.0000, 0.0000, 0.0000) and Pd at (0.3333, 0.6667, 0.5000).

As for the formation energy from the elements: -201 kJ/mol of formula units. The crystal system is hexagonal.


No. 3
An optimized crystal structure of PmPrPd. Source: OQMD, functional PBE.

The structure belongs to space group F-43m (No. 216); the cell edges are 7.1006, 7.1006 and 7.1006 Å and the angles 90.00°, 90.00° and 90.00°. The inequivalent atoms are Pm at (0.0000, 0.0000, 0.0000), Pr at (0.0000, 0.0000, 0.5000) and Pd at (0.2500, 0.2500, 0.2500).

As for the formation energy from the elements: -106 kJ/mol of formula units. The crystal system is cubic.


No. 4
An optimized crystal structure of SmScGa2. Source: OQMD, functional PBE.

The structure belongs to space group Amm2 (No. 38); the cell edges are 4.0136, 4.2577 and 10.7793 Å and the angles 90.00°, 90.00° and 90.00°. The inequivalent atoms are Sm at (0.0000, 0.0000, 0.0000), Sc at (0.5000, 0.0000, 0.7231), Ga at (0.0000, 0.0000, 0.2761) and Ga at (0.5000, 0.0000, 0.4301).

The crystal system is orthorhombic. The total energy is -38.9 eV per cell.


Copy entry 4 word for word.
An optimized crystal structure of SmScGa2. Source: OQMD, functional PBE.

The structure belongs to space group Amm2 (No. 38); the cell edges are 4.0136, 4.2577 and 10.7793 Å and the angles 90.00°, 90.00° and 90.00°. The inequivalent atoms are Sm at (0.0000, 0.0000, 0.0000), Sc at (0.5000, 0.0000, 0.7231), Ga at (0.0000, 0.0000, 0.2761) and Ga at (0.5000, 0.0000, 0.4301).

The crystal system is orthorhombic. The total energy is -38.9 eV per cell.